Here is Bi2WF11 after structural relaxation from Alexandria. Energies are from PBE with a Hubbard U.

Summary:
- DFT total energy (eV/atom) = -5.009
- D(E_F) (states/eV/cell) = 0.000
- space group = No. 72

Unit cell a=8.523 b=8.523 c=8.523 alpha=121.86 beta=104.01 gamma=103.30
Fractional positions:
Bi 0.184 0.140 0.323
Bi 0.316 0.640 0.956
Bi 0.684 0.360 0.044
Bi 0.816 0.860 0.677
W 0.250 0.750 0.500
W 0.750 0.250 0.500
F 0.000 0.000 0.000
F 0.004 0.434 0.741
F 0.084 0.839 0.630
F 0.192 0.934 0.430
F 0.209 0.454 0.370
F 0.214 0.872 0.085
F 0.286 0.372 0.658
F 0.291 0.661 0.245
F 0.308 0.737 0.741
F 0.416 0.046 0.755
F 0.496 0.237 0.430
F 0.500 0.500 0.000
F 0.504 0.763 0.570
F 0.584 0.954 0.245
F 0.692 0.263 0.259
F 0.709 0.339 0.755
F 0.714 0.628 0.342
F 0.786 0.128 0.915
F 0.791 0.546 0.630
F 0.808 0.066 0.570
F 0.916 0.161 0.370
F 0.996 0.566 0.259